[1]
Below is a relaxed SrH2Br2O7 crystal, with properties calculated at the GGA-PBE level.

Cell lengths 7.718, 7.718, 9.021 Å; angles 53.38, 53.38, 60.65 degrees
Atoms (fractional coordinates):
H (0.703, 0.234, 0.364)
H (0.234, 0.703, 0.864)
H (0.297, 0.766, 0.636)
H (0.766, 0.297, 0.136)
O (0.100, 0.265, 0.494)
O (0.412, 0.296, 0.126)
O (0.339, 0.661, 0.750)
O (0.255, 0.925, 0.404)
O (0.296, 0.412, 0.626)
O (0.745, 0.075, 0.596)
O (0.900, 0.735, 0.506)
O (0.735, 0.900, 0.006)
O (0.588, 0.704, 0.874)
O (0.265, 0.100, 0.994)
O (0.075, 0.745, 0.096)
O (0.661, 0.339, 0.250)
O (0.925, 0.255, 0.904)
O (0.704, 0.588, 0.374)
Sr (0.339, 0.661, 0.250)
Sr (0.661, 0.339, 0.750)
Br (0.176, 0.206, 0.307)
Br (0.824, 0.794, 0.693)
Br (0.206, 0.176, 0.807)
Br (0.794, 0.824, 0.193)

Calculated values
Space-group type: C2/c (15)
E, eV/cell: -111.09
Total moment, Bohr magnetons per cell: 0.0

=====

[2]
Below is a relaxed TbH18Br3O18 crystal, with properties calculated at the GGA-PBE level.

Cell lengths 6.753, 11.890, 11.890 Å; angles 120.00, 90.00, 90.00 degrees
Atoms (fractional coordinates):
H (0.567, 0.498, 0.130)
H (0.567, 0.870, 0.502)
H (0.241, 0.745, 0.119)
H (0.567, 0.632, 0.130)
H (0.067, 0.368, 0.870)
H (0.241, 0.373, 0.255)
H (0.433, 0.500, 0.632)
H (0.741, 0.119, 0.745)
H (0.741, 0.627, 0.881)
H (0.241, 0.745, 0.627)
H (0.933, 0.500, 0.132)
H (0.933, 0.500, 0.368)
H (0.933, 0.632, 0.132)
H (0.067, 0.368, 0.498)
H (0.741, 0.627, 0.745)
H (0.067, 0.130, 0.498)
H (0.241, 0.373, 0.119)
H (0.741, 0.119, 0.373)
H (0.567, 0.498, 0.368)
H (0.567, 0.870, 0.368)
H (0.567, 0.632, 0.502)
H (0.241, 0.881, 0.255)
H (0.067, 0.502, 0.870)
H (0.741, 0.255, 0.373)
H (0.433, 0.368, 0.500)
H (0.241, 0.881, 0.627)
H (0.433, 0.500, 0.868)
H (0.433, 0.132, 0.632)
H (0.067, 0.502, 0.632)
H (0.433, 0.368, 0.868)
H (0.433, 0.132, 0.500)
H (0.741, 0.255, 0.881)
H (0.933, 0.868, 0.500)
H (0.933, 0.632, 0.500)
H (0.067, 0.130, 0.632)
H (0.933, 0.868, 0.368)
O (0.459, 0.094, 0.906)
O (0.766, 0.213, 0.426)
O (0.248, 0.296, 0.931)
O (0.459, 0.094, 0.188)
O (0.248, 0.069, 0.704)
O (0.492, 0.580, 0.420)
O (0.248, 0.635, 0.931)
O (0.766, 0.574, 0.787)
O (0.266, 0.426, 0.213)
O (0.510, 0.161, 0.580)
O (0.748, 0.931, 0.635)
O (0.992, 0.420, 0.580)
O (0.959, 0.906, 0.094)
O (0.748, 0.365, 0.069)
O (0.459, 0.812, 0.906)
O (0.248, 0.069, 0.365)
O (0.266, 0.787, 0.213)
O (0.010, 0.580, 0.420)
O (0.959, 0.906, 0.812)
O (0.992, 0.160, 0.580)
O (0.959, 0.188, 0.094)
O (0.748, 0.365, 0.296)
O (0.510, 0.420, 0.839)
O (0.748, 0.704, 0.069)
O (0.492, 0.840, 0.420)
O (0.010, 0.580, 0.161)
O (0.010, 0.839, 0.420)
O (0.266, 0.787, 0.574)
O (0.992, 0.420, 0.840)
O (0.748, 0.931, 0.296)
O (0.766, 0.213, 0.787)
O (0.510, 0.420, 0.580)
O (0.748, 0.704, 0.635)
O (0.248, 0.296, 0.365)
O (0.492, 0.580, 0.160)
O (0.248, 0.635, 0.704)
Br (0.241, 0.737, 0.869)
Br (0.241, 0.131, 0.263)
Br (0.741, 0.869, 0.737)
Br (0.741, 0.263, 0.131)
Br (0.741, 0.869, 0.131)
Br (0.241, 0.131, 0.869)
Tb (0.755, 0.333, 0.667)
Tb (0.255, 0.667, 0.333)

Calculated values
Space-group type: P6_3mc (186)
E, eV/cell: -390.05
Total moment, Bohr magnetons per cell: 0.0

=====

[3]
Below is a relaxed TcHBrO2 crystal, with properties calculated at the GGA-PBE level.

Cell lengths 3.782, 5.363, 3.782 Å; angles 90.00, 90.00, 90.00 degrees
Last column: magnetic moment on the atom in μB.
Atoms (fractional coordinates):
Br (0.000, 0.000, 0.000)  -0.01
O (0.000, 0.000, 0.500)  0.09
O (0.500, 0.000, 0.000)  0.10
H (0.500, 0.500, 0.500)  -0.05
Tc (0.000, 0.500, 0.000)  3.38

Calculated values
Space-group type: P4/mmm (123)
E, eV/cell: -18.34
Total moment, Bohr magnetons per cell: 4.0

=====

[4]
Below is a relaxed TcHBrO4 crystal, with properties calculated at the GGA-PBE level.

Cell lengths 7.323, 7.323, 6.779 Å; angles 73.20, 73.20, 74.32 degrees
Atoms (fractional coordinates):
O (0.557, 0.869, 0.726)
O (0.495, 0.495, 0.759)
O (0.505, 0.505, 0.241)
O (0.443, 0.131, 0.274)
O (0.131, 0.443, 0.274)
O (0.869, 0.557, 0.726)
O (0.704, 0.704, 0.355)
O (0.296, 0.296, 0.645)
H (0.639, 0.639, 0.291)
H (0.361, 0.361, 0.709)
Br (0.955, 0.955, 0.874)
Br (0.045, 0.045, 0.126)
Tc (0.346, 0.346, 0.353)
Tc (0.654, 0.654, 0.647)

Calculated values
Space-group type: C2/m (12)
E, eV/cell: -84.16
Total moment, Bohr magnetons per cell: 0.1

=====

[5]
Below is a relaxed TlH6Br2O2 crystal, with properties calculated at the GGA-PBE level.

Cell lengths 5.009, 8.370, 6.964 Å; angles 130.33, 90.12, 72.68 degrees
Last column: magnetic moment on the atom in μB.
Atoms (fractional coordinates):
Br (0.791, 0.418, 0.708)  0.01
Br (0.209, 0.582, 0.292)  0.01
H (0.652, 0.363, 0.178)  0.00
H (0.848, 0.303, 0.330)  0.00
H (0.017, 0.636, 0.821)  0.00
H (0.152, 0.697, 0.670)  0.00
H (0.348, 0.637, 0.822)  0.00
H (0.983, 0.364, 0.179)  0.00
Tl (0.500, 0.000, 0.500)  0.11
O (0.859, 0.280, 0.165)  0.01
O (0.141, 0.720, 0.835)  0.01

Calculated values
Space-group type: P-1 (2)
E, eV/cell: -42.12
Total moment, Bohr magnetons per cell: 0.6

=====

[6]
Below is a relaxed Tl3H4Br3O2 crystal, with properties calculated at the GGA-PBE level.

Cell lengths 5.283, 5.703, 11.260 Å; angles 104.67, 103.57, 90.00 degrees
Atoms (fractional coordinates):
Tl (0.153, 0.000, 0.000)
Tl (0.851, 0.367, 0.734)
Tl (0.117, 0.633, 0.266)
H (0.161, 0.846, 0.691)
H (0.242, 0.186, 0.373)
H (0.870, 0.814, 0.627)
H (0.470, 0.154, 0.309)
Br (0.264, 0.289, 0.579)
Br (0.685, 0.711, 0.421)
Br (0.442, 0.500, 0.000)
O (0.992, 0.857, 0.713)
O (0.279, 0.143, 0.287)

Calculated values
Space-group type: Imm2 (44)
E, eV/cell: -45.47
Total moment, Bohr magnetons per cell: 0.0

=====

[7]
Below is a relaxed TlH2BrO crystal, with properties calculated at the GGA-PBE level.

Cell lengths 4.269, 6.491, 7.215 Å; angles 90.00, 90.00, 109.20 degrees
Atoms (fractional coordinates):
H (0.937, 0.874, 0.421)
H (0.063, 0.126, 0.921)
H (0.937, 0.874, 0.079)
H (0.063, 0.126, 0.579)
Tl (0.621, 0.241, 0.250)
Tl (0.379, 0.759, 0.750)
Br (0.330, 0.659, 0.250)
Br (0.670, 0.341, 0.750)
O (0.000, 0.000, 0.500)
O (0.000, 0.000, 0.000)

Calculated values
Space-group type: Cmcm (63)
E, eV/cell: -38.09
Total moment, Bohr magnetons per cell: 0.0

=====

[8]
Below is a relaxed UH6Br2O5 crystal, with properties calculated at the GGA-PBE level.

Cell lengths 6.886, 10.507, 12.778 Å; angles 99.03, 90.00, 90.00 degrees
Atoms (fractional coordinates):
H (0.750, 0.943, 0.968)
H (0.328, 0.675, 0.133)
H (0.250, 0.057, 0.532)
H (0.969, 0.727, 0.192)
H (0.143, 0.195, 0.574)
H (0.357, 0.195, 0.074)
H (0.280, 0.212, 0.350)
H (0.172, 0.675, 0.633)
H (0.031, 0.273, 0.808)
H (0.199, 0.547, 0.091)
H (0.469, 0.273, 0.308)
H (0.720, 0.788, 0.650)
H (0.828, 0.325, 0.367)
H (0.857, 0.805, 0.426)
H (0.301, 0.547, 0.591)
H (0.780, 0.788, 0.150)
H (0.801, 0.453, 0.909)
H (0.750, 0.943, 0.468)
H (0.531, 0.727, 0.692)
H (0.250, 0.057, 0.032)
H (0.643, 0.805, 0.926)
H (0.672, 0.325, 0.867)
H (0.699, 0.453, 0.409)
H (0.220, 0.212, 0.850)
Br (0.018, 0.827, 0.750)
Br (0.072, 0.655, 0.345)
Br (0.572, 0.345, 0.155)
Br (0.982, 0.173, 0.250)
Br (0.428, 0.655, 0.845)
Br (0.928, 0.345, 0.655)
Br (0.482, 0.827, 0.250)
Br (0.518, 0.173, 0.750)
O (0.089, 0.244, 0.870)
O (0.247, 0.631, 0.074)
O (0.446, 0.407, 0.592)
O (0.694, 0.107, 0.496)
O (0.743, 0.848, 0.465)
O (0.911, 0.756, 0.130)
O (0.806, 0.107, 0.996)
O (0.253, 0.631, 0.574)
O (0.411, 0.244, 0.370)
O (0.306, 0.893, 0.504)
O (0.554, 0.593, 0.408)
O (0.243, 0.152, 0.035)
O (0.194, 0.893, 0.004)
O (0.946, 0.593, 0.908)
O (0.757, 0.848, 0.965)
O (0.753, 0.369, 0.926)
O (0.747, 0.369, 0.426)
O (0.054, 0.407, 0.092)
O (0.589, 0.756, 0.630)
O (0.257, 0.152, 0.535)
U (0.928, 0.257, 0.046)
U (0.072, 0.743, 0.954)
U (0.428, 0.743, 0.454)
U (0.572, 0.257, 0.546)

Calculated values
Space-group type: P2_1/c (14)
E, eV/cell: -320.49
Total moment, Bohr magnetons per cell: 0.0

=====

[9]
Below is a relaxed YHBrO2 crystal, with properties calculated at the GGA-PBE level.

Cell lengths 4.032, 4.074, 4.032 Å; angles 90.00, 90.00, 90.00 degrees
Last column: magnetic moment on the atom in μB.
Atoms (fractional coordinates):
Br (0.500, 0.500, 0.500)  0.25
H (0.000, 0.000, 0.000)  0.00
Y (0.000, 0.500, 0.000)  -0.03
O (0.000, 0.000, 0.500)  0.57
O (0.500, 0.000, 0.000)  0.54

Calculated values
Space-group type: P4/mmm (123)
E, eV/cell: -23.22
Total moment, Bohr magnetons per cell: 1.6

=====

[10]
Below is a relaxed YH18Br3O18 crystal, with properties calculated at the GGA-PBE level.

Cell lengths 6.744, 11.892, 11.892 Å; angles 120.00, 90.00, 90.00 degrees
Atoms (fractional coordinates):
O (0.961, 0.095, 0.905)
O (0.749, 0.635, 0.704)
O (0.461, 0.905, 0.095)
O (0.767, 0.787, 0.574)
O (0.749, 0.069, 0.704)
O (0.511, 0.580, 0.161)
O (0.992, 0.580, 0.160)
O (0.492, 0.160, 0.580)
O (0.249, 0.931, 0.296)
O (0.249, 0.704, 0.069)
O (0.011, 0.161, 0.580)
O (0.992, 0.840, 0.420)
O (0.961, 0.811, 0.905)
O (0.511, 0.839, 0.420)
O (0.767, 0.787, 0.213)
O (0.011, 0.420, 0.580)
O (0.267, 0.213, 0.426)
O (0.767, 0.426, 0.213)
O (0.011, 0.420, 0.839)
O (0.749, 0.635, 0.931)
O (0.461, 0.905, 0.811)
O (0.267, 0.574, 0.787)
O (0.249, 0.365, 0.069)
O (0.492, 0.420, 0.580)
O (0.992, 0.580, 0.420)
O (0.249, 0.704, 0.635)
O (0.749, 0.296, 0.365)
O (0.749, 0.069, 0.365)
O (0.249, 0.365, 0.296)
O (0.961, 0.095, 0.189)
O (0.511, 0.580, 0.420)
O (0.749, 0.296, 0.931)
O (0.249, 0.931, 0.635)
O (0.492, 0.420, 0.840)
O (0.461, 0.189, 0.095)
O (0.267, 0.213, 0.787)
H (0.434, 0.868, 0.500)
H (0.567, 0.368, 0.869)
H (0.934, 0.132, 0.632)
H (0.241, 0.626, 0.881)
H (0.741, 0.745, 0.626)
H (0.067, 0.632, 0.501)
H (0.067, 0.869, 0.368)
H (0.741, 0.881, 0.626)
H (0.567, 0.501, 0.869)
H (0.741, 0.374, 0.119)
H (0.741, 0.881, 0.255)
H (0.567, 0.131, 0.499)
H (0.067, 0.499, 0.131)
H (0.934, 0.500, 0.868)
H (0.934, 0.368, 0.868)
H (0.067, 0.869, 0.501)
H (0.434, 0.632, 0.500)
H (0.434, 0.868, 0.368)
H (0.934, 0.132, 0.500)
H (0.434, 0.632, 0.132)
H (0.241, 0.255, 0.881)
H (0.241, 0.119, 0.374)
H (0.934, 0.500, 0.632)
H (0.241, 0.626, 0.745)
H (0.567, 0.131, 0.632)
H (0.741, 0.374, 0.255)
H (0.434, 0.500, 0.368)
H (0.741, 0.745, 0.119)
H (0.241, 0.119, 0.745)
H (0.241, 0.255, 0.374)
H (0.067, 0.499, 0.368)
H (0.067, 0.632, 0.131)
H (0.567, 0.368, 0.499)
H (0.434, 0.500, 0.132)
H (0.567, 0.501, 0.632)
H (0.934, 0.368, 0.500)
Br (0.743, 0.132, 0.263)
Br (0.743, 0.737, 0.868)
Br (0.243, 0.263, 0.132)
Br (0.243, 0.868, 0.132)
Br (0.743, 0.132, 0.868)
Br (0.243, 0.868, 0.737)
Y (0.755, 0.667, 0.333)
Y (0.255, 0.333, 0.667)

Calculated values
Space-group type: P6_3mc (186)
E, eV/cell: -393.48
Total moment, Bohr magnetons per cell: 0.0

=====

[11]
Below is a relaxed H2OsBr crystal, with properties calculated at the GGA-PBE level.

Cell lengths 3.884, 3.884, 3.884 Å; angles 60.00, 60.00, 60.00 degrees
Atoms (fractional coordinates):
H (0.750, 0.750, 0.750)
H (0.250, 0.250, 0.250)
Br (0.000, 0.000, 0.000)
Os (0.500, 0.500, 0.500)

Calculated values
Space-group type: Fm-3m (225)
Polymorph energy (0 for the lowest one), meV per atom: 764.2
Total moment, Bohr magnetons per cell: 0.0

=====

[12]
Below is a relaxed HOsBr6 crystal, with properties calculated at the GGA-PBE level.

Cell lengths 7.648, 7.009, 7.009 Å; angles 59.89, 72.62, 107.38 degrees
Last column: magnetic moment on the atom in μB.
Atoms (fractional coordinates):
Br (0.723, 0.350, 0.365)  0.19
Br (0.723, 0.635, 0.650)  0.19
Br (0.277, 0.650, 0.635)  0.19
Br (0.277, 0.365, 0.350)  0.19
Br (0.754, 0.956, 0.044)  0.01
Br (0.246, 0.044, 0.956)  0.01
Os (0.500, 0.500, 0.500)  1.75
H (0.000, 0.000, 0.000)  0.00

Calculated values
Space-group type: C2/m (12)
E, eV/cell: -25.55
Total moment, Bohr magnetons per cell: 3.0

=====

[13]
Below is a relaxed H2OsBr crystal, with properties calculated at the GGA-PBE level.

Cell lengths 5.255, 5.255, 5.132 Å; angles 59.20, 59.20, 90.00 degrees
Last column: magnetic moment on the atom in μB.
Atoms (fractional coordinates):
H (0.875, 0.002, 0.750)  -0.01
H (0.375, 0.248, 0.750)  -0.01
H (0.752, 0.125, 0.250)  -0.01
H (0.998, 0.625, 0.250)  -0.01
Br (0.500, 0.500, 0.000)  0.04
Br (0.250, 0.750, 0.500)  0.05
Os (0.750, 0.250, 0.500)  1.01
Os (0.000, 0.000, 0.000)  1.00

Calculated values
Space-group type: I-42d (122)
Polymorph energy (0 for the lowest one), meV per atom: 0.0
Total moment, Bohr magnetons per cell: 2.2